(1)
Computed, not measured: a geometry-optimized PuGa3Pt3 structure at the PBE level of DFT.

Summary:
DOS(E_F) = 21.53 states/eV/f.u.
total moment = 0.85 μB per atom
VASP energy = -87.4 eV/cell

abc: 6.8670 6.8670 6.8670
angles: 90.00 90.00 90.00
Last column: nearest neighbours and their distance in Å.
Sites, in units of the cell vectors:
Ga: 0.2500 0.0000 0.5000  4 Pt 2.43
Pt: 0.7500 0.5000 0.0000  4 Ga 2.43
Ga: 0.5000 0.7500 0.0000  4 Pt 2.43
Ga: 0.7500 0.0000 0.5000  4 Pt 2.43
Ga: 0.5000 0.2500 0.0000  4 Pt 2.43
Pt: 0.0000 0.7500 0.5000  4 Ga 2.43
Pt: 0.5000 0.0000 0.7500  4 Ga 2.43
Pt: 0.2500 0.5000 0.0000  4 Ga 2.43
Ga: 0.0000 0.5000 0.7500  4 Pt 2.43
Pt: 0.0000 0.2500 0.5000  4 Ga 2.43
Pt: 0.5000 0.0000 0.2500  4 Ga 2.43
Pu: 0.5000 0.5000 0.5000  12 Pt 3.84, 12 Ga 3.84
Pu: 0.0000 0.0000 0.0000  12 Pt 3.84, 12 Ga 3.84
Ga: 0.0000 0.5000 0.2500  4 Pt 2.43

***

(2)
Computed, not measured: a geometry-optimized Pu2GaPt3 structure at the PBE level of DFT.

Summary:
DOS(E_F) = 17.54 states/eV/f.u.
total moment = 1.81 μB per atom
VASP energy = -110.0 eV/cell

abc: 5.5766 5.5766 8.4345
angles: 90.00 90.00 120.00
Last column: nearest neighbours and their distance in Å.
Sites, in units of the cell vectors:
Pu: 0.6667 0.3333 0.4311  1 Pu 3.06, 9 Pt 3.12-3.18, 3 Ga 3.27
Ga: 0.0000 0.0000 0.5000  6 Pt 2.67
Pt: 0.8309 0.6618 0.7500  2 Ga 2.67, 4 Pt 2.75-2.83
Pt: 0.6618 0.8309 0.2500  2 Ga 2.67, 4 Pt 2.75-2.83
Pt: 0.1691 0.8309 0.2500  2 Ga 2.67, 4 Pt 2.75-2.83
Pu: 0.6667 0.3333 0.0689  1 Pu 3.06, 9 Pt 3.12-3.18, 3 Ga 3.27
Ga: 0.0000 0.0000 0.0000  6 Pt 2.67
Pu: 0.3333 0.6667 0.9311  1 Pu 3.06, 9 Pt 3.12-3.18, 3 Ga 3.27
Pt: 0.8309 0.1691 0.7500  2 Ga 2.67, 4 Pt 2.75-2.83
Pt: 0.3382 0.1691 0.7500  2 Ga 2.67, 4 Pt 2.75-2.83
Pt: 0.1691 0.3382 0.2500  2 Ga 2.67, 4 Pt 2.75-2.83
Pu: 0.3333 0.6667 0.5689  1 Pu 3.06, 9 Pt 3.12-3.18, 3 Ga 3.27

***

(3)
Computed, not measured: a geometry-optimized Pu3Ga9Pt2 structure at the PBE level of DFT.

Summary:
DOS(E_F) = 25.96 states/eV/f.u.
total moment = 1.17 μB per atom
VASP energy = -89.3 eV/cell

abc: 4.3305 8.1947 8.1947
angles: 71.89 74.68 74.68
Last column: nearest neighbours and their distance in Å.
Sites, in units of the cell vectors:
Pu: 0.3019 0.6981 0.6981  12 Ga 3.09-3.40, 2 Pt 3.10
Pt: 0.5000 0.3076 0.6924  8 Ga 2.60-2.85
Ga: 0.0000 0.5000 0.5000  4 Ga 2.72, 4 Pt 2.85
Ga: 0.6581 0.9744 0.7094  4 Ga 2.55-2.70, 1 Pt 2.60
Ga: 0.8630 0.4173 0.8567  4 Ga 2.60-2.72, 2 Pt 2.78
Ga: 0.6581 0.7094 0.9744  4 Ga 2.55-2.70, 1 Pt 2.60
Ga: 0.3419 0.0256 0.2906  4 Ga 2.55-2.70, 1 Pt 2.60
Ga: 0.3419 0.2906 0.0256  4 Ga 2.55-2.70, 1 Pt 2.60
Pu: 0.6981 0.3019 0.3019  12 Ga 3.09-3.40, 2 Pt 3.10
Ga: 0.1370 0.1433 0.5827  4 Ga 2.60-2.72, 2 Pt 2.78
Ga: 0.8630 0.8567 0.4173  4 Ga 2.60-2.72, 2 Pt 2.78
Ga: 0.1370 0.5827 0.1433  4 Ga 2.60-2.72, 2 Pt 2.78
Pu: 0.0000 0.0000 0.0000  12 Ga 3.20
Pt: 0.5000 0.6924 0.3076  8 Ga 2.60-2.85

***

(4)
Computed, not measured: a geometry-optimized Pu2Ga5Pt3 structure at the PBE level of DFT.

Summary:
DOS(E_F) = 23.65 states/eV/f.u.
total moment = 1.04 μB per atom
VASP energy = -138.1 eV/cell

abc: 4.3857 6.7706 12.6997
angles: 90.00 99.94 90.00
Last column: nearest neighbours and their distance in Å.
Sites, in units of the cell vectors:
Ga: 0.0519 0.5813 0.1038  4 Pt 2.63-2.70, 1 Ga 2.82
Ga: 0.2916 0.5106 0.5832  3 Pt 2.61-2.62, 2 Ga 2.68-2.74
Pt: 0.2254 0.2119 0.4508  7 Ga 2.57-2.63
Ga: 0.7084 0.0106 0.4168  3 Pt 2.61-2.62, 2 Ga 2.68-2.74
Pu: 0.4832 0.7591 0.9665  5 Pt 2.86-3.15, 2 Ga 3.03
Pt: 0.0523 0.9747 0.1046  5 Ga 2.58-2.70
Pt: 0.3927 0.0158 0.7853  6 Ga 2.59-2.83, 1 Pu 2.86
Ga: 0.2928 0.9157 0.5855  4 Pt 2.59-2.63, 1 Ga 2.74
Pu: 0.8265 0.2231 0.6530  10 Ga 3.06-3.38, 4 Pt 3.09-3.35
Ga: 0.9481 0.0813 0.8962  4 Pt 2.63-2.70, 1 Ga 2.82
Ga: 0.7072 0.4157 0.4145  4 Pt 2.59-2.63, 1 Ga 2.74
Pu: 0.1735 0.7231 0.3470  10 Ga 3.06-3.38, 4 Pt 3.09-3.35
Pu: 0.5168 0.2591 0.0335  5 Pt 2.86-3.15, 2 Ga 3.03
Pt: 0.7746 0.7119 0.5492  7 Ga 2.57-2.63
Ga: 0.8764 0.7591 0.7528  4 Pt 2.57-2.83, 1 Ga 2.82
Ga: 0.3957 0.4136 0.7913  3 Pt 2.58-2.69, 1 Ga 2.68
Ga: 0.6043 0.9136 0.2087  3 Pt 2.58-2.69, 1 Ga 2.68
Ga: 0.1236 0.2591 0.2472  4 Pt 2.57-2.83, 1 Ga 2.82
Pt: 0.6073 0.5158 0.2147  6 Ga 2.59-2.83, 1 Pu 2.86
Pt: 0.9477 0.4747 0.8954  5 Ga 2.58-2.70

***

(5)
Computed, not measured: a geometry-optimized Pu4GaPt structure at the PBE level of DFT.

Summary:
DOS(E_F) = 28.30 states/eV/f.u.
total moment = 4.01 μB per atom
VASP energy = -135.7 eV/cell

abc: 5.6087 7.2509 7.2509
angles: 90.00 90.00 90.00
Last column: nearest neighbours and their distance in Å.
Sites, in units of the cell vectors:
Pu: 0.5000 0.1615 0.3428  2 Pt 3.05, 2 Ga 3.08, 3 Pu 3.27-3.36
Pu: 0.0000 0.1615 0.6572  2 Pt 3.05, 2 Ga 3.08, 3 Pu 3.27-3.36
Pt: 0.7500 0.5000 0.5000  2 Pt 2.80, 8 Pu 3.05
Pu: 0.0000 0.6572 0.8385  2 Pt 3.05, 2 Ga 3.08, 3 Pu 3.27-3.36
Ga: 0.7500 0.0000 0.0000  2 Ga 2.80, 8 Pu 3.08
Pt: 0.2500 0.5000 0.5000  2 Pt 2.80, 8 Pu 3.05
Pu: 0.0000 0.8385 0.3428  2 Pt 3.05, 2 Ga 3.08, 3 Pu 3.27-3.36
Pu: 0.0000 0.3428 0.1615  2 Pt 3.05, 2 Ga 3.08, 3 Pu 3.27-3.36
Pu: 0.5000 0.6572 0.1615  2 Pt 3.05, 2 Ga 3.08, 3 Pu 3.27-3.36
Pu: 0.5000 0.3428 0.8385  2 Pt 3.05, 2 Ga 3.08, 3 Pu 3.27-3.36
Ga: 0.2500 0.0000 0.0000  2 Ga 2.80, 8 Pu 3.08
Pu: 0.5000 0.8385 0.6572  2 Pt 3.05, 2 Ga 3.08, 3 Pu 3.27-3.36

***

(6)
Computed, not measured: a geometry-optimized Pu2GaPt5 structure at the PBE level of DFT.

Summary:
DOS(E_F) = 23.96 states/eV/f.u.
total moment = 1.27 μB per atom
VASP energy = -67.3 eV/cell

abc: 6.8124 5.6276 5.6752
angles: 119.74 116.95 89.98
Last column: nearest neighbours and their distance in Å.
Sites, in units of the cell vectors:
Ga: 0.0223 0.0178 0.0357  5 Pt 2.46-2.53
Pu: 0.8467 0.2908 0.5815  8 Pt 2.95-3.08
Pt: 0.6949 0.7301 0.9720  1 Ga 2.53, 3 Pt 2.75-2.79
Pt: 0.6949 0.7324 0.4645  1 Ga 2.52, 4 Pt 2.72-2.79
Pt: 0.3119 0.7569 0.0297  1 Ga 2.46, 2 Pt 2.72-2.73
Pt: 0.3121 0.2727 0.0300  1 Ga 2.46, 2 Pt 2.72-2.73
Pu: 0.1992 0.7343 0.4684  4 Pt 2.85-2.98
Pt: 0.6949 0.2421 0.9721  1 Ga 2.53, 3 Pt 2.75-2.79